## Sr2In3PtAu12 (GGA-PBE)

Data for a relaxed structure of Sr2In3PtAu12.

The structure in POSCAR format:
```
Sr2In3PtAu12
1.0
8.714 -0.176 -0.125
4.151 7.664 -0.125
4.151 2.416 7.274
Au Pt Sr In
12 1 2 3
Direct
0.868 0.868 0.355
0.355 0.868 0.868
0.363 0.991 0.363
0.991 0.363 0.363
0.132 0.645 0.132
0.868 0.355 0.868
0.637 0.637 0.009
0.132 0.132 0.645
0.637 0.009 0.637
0.645 0.132 0.132
0.363 0.363 0.991
0.009 0.637 0.637
0.000 0.000 0.000
0.385 0.385 0.385
0.615 0.615 0.615
0.000 0.000 0.500
0.000 0.500 0.000
0.500 0.000 0.000
```

Summary:
The calculation puts the formation energy at -1.65 eV per formula unit. The total moment is 0.00 μB per atom. The final energy is -0.2393 Ry/atom.